Density functional theory data (PBE) for an optimized crystal structure of InSn5Pb4.

a b c (Å): 3.4858 3.4858 24.0092
angles (deg): 90.00 90.00 90.00
Closest atoms and distances in Å follow each position.
Fractional positions:
1 Pb 0.0000 0.0000 0.3999  8 Sn 3.44-3.49, 4 Pb 3.49
2 Pb 0.0000 0.0000 0.6001  8 Sn 3.44-3.49, 4 Pb 3.49
3 Pb 0.0000 0.0000 0.1958  8 Sn 3.46-3.49, 4 Pb 3.49
4 Pb 0.0000 0.0000 0.8042  8 Sn 3.46-3.49, 4 Pb 3.49
5 Sn 0.5000 0.5000 0.0931  4 In 3.33, 4 Pb 3.49, 4 Sn 3.49
6 Sn 0.5000 0.5000 0.9069  4 In 3.33, 4 Pb 3.49, 4 Sn 3.49
7 Sn 0.5000 0.5000 0.5000  8 Pb 3.44, 4 Sn 3.49
8 Sn 0.5000 0.5000 0.2970  8 Pb 3.46-3.49, 4 Sn 3.49
9 Sn 0.5000 0.5000 0.7030  8 Pb 3.46-3.49, 4 Sn 3.49
10 In 0.0000 0.0000 0.0000  8 Sn 3.33, 4 In 3.49

Computed properties:
DOS at the Fermi energy (states/eV/cell): 6.7
Uncorrected energy (eV/atom): -3.709
ρ (g/cm³): 8.75
DFT formation energy (eV/atom): 0.050